The following is a DFT calculation (GGA-PBE) of ZnCuTe2 after structural relaxation.

Final energy in eV/atom: -2.958
Space-group type: P4mm
Offset from the most stable computed form in eV per formula unit: 0.72
D(E_F) in states/eV per cell: 0.618
Crystal system: tetragonal
E_form (uncorrected) in eV/f.u.: -0.18

Cell lengths 3.7267, 3.7267, 7.4271 Å; angles 90.00, 90.00, 90.00 degrees
Positions (direct):
Zn: 0.0000 0.0000 0.0000
Cu: 0.5000 0.5000 0.2352
Te: 0.0000 0.0000 0.3583
Te: 0.5000 0.5000 0.8700

---

The following is a DFT calculation (GGA-PBE) of USbF after structural relaxation.

Final energy in eV/atom: -7.310
Space-group type: P-6m2
Offset from the most stable computed form in eV per formula unit: 0.00
D(E_F) in states/eV per cell: 6.104
Crystal system: hexagonal
E_form (uncorrected) in eV/f.u.: -4.65

Cell lengths 4.1277, 4.1277, 4.4165 Å; angles 90.00, 90.00, 120.00 degrees
Positions (direct):
U: 0.0000 0.0000 0.0000
Sb: 0.6667 0.3333 0.5000
F: 0.3333 0.6667 0.0000

---

The following is a DFT calculation (GGA-PBE) of Ga3Cu12Ge after structural relaxation.

Final energy in eV/atom: -3.998
Space-group type: P4/mmm
D(E_F) in states/eV per cell: 3.206
Crystal system: tetragonal
Energy of formation in eV/atom: -0.070

Cell lengths 3.7185, 3.7185, 14.6704 Å; angles 90.00, 90.00, 90.00 degrees
Positions (direct):
Ga: 0.0000 0.0000 0.0000
Ga: 0.0000 0.0000 0.2499
Ga: 0.0000 0.0000 0.7501
Cu: 0.0000 0.5000 0.1250
Cu: 0.0000 0.5000 0.3749
Cu: 0.0000 0.5000 0.6251
Cu: 0.0000 0.5000 0.8750
Cu: 0.5000 0.0000 0.1250
Cu: 0.5000 0.0000 0.3749
Cu: 0.5000 0.0000 0.6251
Cu: 0.5000 0.0000 0.8750
Cu: 0.5000 0.5000 0.0000
Cu: 0.5000 0.5000 0.2503
Cu: 0.5000 0.5000 0.5000
Cu: 0.5000 0.5000 0.7497
Ge: 0.0000 0.0000 0.5000

---

The following is a DFT calculation (GGA-PBE) of SrGaGe2Pd after structural relaxation.

Final energy in eV/atom: -2.483
Space-group type: P4/mmm
Offset from the most stable computed form in eV per formula unit: 9.45
D(E_F) in states/eV per cell: 4.739
Crystal system: tetragonal
Energy of formation in eV/atom: 1.344

Cell lengths 5.5230, 5.5230, 5.5870 Å; angles 90.00, 90.00, 90.00 degrees
Positions (direct):
Sr: 0.0000 0.0000 0.0000
Ga: 0.0000 0.0000 0.5000
Ge: 0.0000 0.5000 0.0000
Ge: 0.5000 0.0000 0.0000
Pd: 0.5000 0.5000 0.5000

---

The following is a DFT calculation (GGA-PBE) of YNbCo after structural relaxation.

Final energy in eV/atom: -7.881
Space-group type: P4/nmm
Offset from the most stable computed form in eV per formula unit: 0.00
D(E_F) in states/eV per cell: 6.999
Crystal system: tetragonal
Energy of formation in eV/atom: -0.001

Cell lengths 3.8562, 3.8562, 7.9643 Å; angles 90.00, 90.00, 90.00 degrees
Positions (direct):
Y: 0.2500 0.2500 0.1524
Y: 0.7500 0.7500 0.8476
Nb: 0.2500 0.7500 0.5000
Nb: 0.7500 0.2500 0.5000
Co: 0.2500 0.2500 0.7396
Co: 0.7500 0.7500 0.2604

---

The following is a DFT calculation (GGA-PBE) of Cs2CaClF6 after structural relaxation.

Final energy in eV/atom: -3.977
Space-group type: I4/mmm
D(E_F) in states/eV per cell: 5.880
Crystal system: tetragonal
E_form (uncorrected) in eV/f.u.: -22.99

Cell lengths 7.0483, 7.0483, 7.0483 Å; angles 128.11, 128.11, 76.45 degrees
Positions (direct):
Cs: 0.2500 0.7500 0.5000
Cs: 0.7500 0.2500 0.5000
Ca: 0.0000 0.0000 0.0000
Cl: 0.5000 0.5000 0.0000
F: 0.1984 0.1984 0.0000
F: 0.2620 0.2620 0.5241
F: 0.2620 0.7380 0.0000
F: 0.7380 0.2620 0.0000
F: 0.7380 0.7380 0.4759
F: 0.8016 0.8016 0.0000

---

The following is a DFT calculation (GGA-PBE) of CoPdPtRh after structural relaxation.

Final energy in eV/atom: -6.215
Space-group type: Pmm2
D(E_F) in states/eV per cell: 6.565
Crystal system: orthorhombic
Energy of formation in eV/atom: 0.208

Cell lengths 2.6890, 2.7036, 8.2381 Å; angles 90.00, 90.00, 90.00 degrees
Positions (direct):
Co: 0.0000 0.0000 0.0000
Pd: 0.5000 0.5000 0.7821
Pt: 0.5000 0.0000 0.4930
Rh: 0.0000 0.5000 0.2494

---

The following is a DFT calculation (GGA-PBE) of PmYAlPd after structural relaxation.

Final energy in eV/atom: -5.575
Space-group type: F-43m
Offset from the most stable computed form in eV per formula unit: 0.24
D(E_F) in states/eV per cell: 13.186
Crystal system: cubic
Energy of formation in eV/atom: -0.537

Cell lengths 7.2598, 7.2598, 7.2598 Å; angles 90.00, 90.00, 90.00 degrees
Positions (direct):
Pm: 0.0000 0.0000 0.0000
Pm: 0.0000 0.5000 0.5000
Pm: 0.5000 0.0000 0.5000
Pm: 0.5000 0.5000 0.0000
Y: 0.0000 0.0000 0.5000
Y: 0.0000 0.5000 0.0000
Y: 0.5000 0.0000 0.0000
Y: 0.5000 0.5000 0.5000
Al: 0.2500 0.2500 0.2500
Al: 0.2500 0.7500 0.7500
Al: 0.7500 0.2500 0.7500
Al: 0.7500 0.7500 0.2500
Pd: 0.2500 0.2500 0.7500
Pd: 0.2500 0.7500 0.2500
Pd: 0.7500 0.2500 0.2500
Pd: 0.7500 0.7500 0.7500

---

Number 1: calculated volume 25.79 A^3/atom. Number 2: calculated volume 21.72 A^3/atom. Number 3: calculated volume 12.68 A^3/atom. Number 4: calculated volume 34.08 A^3/atom. Number 5: calculated volume 19.74 A^3/atom. Number 6: calculated volume 21.06 A^3/atom. Number 7: calculated volume 14.97 A^3/atom. Number 8: calculated volume 23.91 A^3/atom.